No. 1
# GGA-PBEsol Y2CrAs, optimized geometry
data_Y2CrAs
_space_group_name_H-M_alt 'P 1'
_space_group_IT_number 1
_cell_length_a 3.7102
_cell_length_b 4.4104
_cell_length_c 6.0584
_cell_angle_alpha 111.35
_cell_angle_beta 107.83
_cell_angle_gamma 90.00
loop_
_space_group_symop_operation_xyz
'x,y,z'
loop_
_atom_site_label
_atom_site_type_symbol
_atom_site_fract_x
_atom_site_fract_y
_atom_site_fract_z
Cr1 Cr 0.7881 0.2881 0.5762
Y1 Y 0.2391 0.7391 0.4782
Y2 Y 0.0117 0.0117 0.0233
As1 As 0.4612 0.4612 0.9223
# formation energy = -0.296 eV/atom
# space group = No. 44

No. 2
# GGA-PBEsol Li2InAs, optimized geometry
data_Li2InAs
_space_group_name_H-M_alt 'P 1'
_space_group_IT_number 1
_cell_length_a 2.8872
_cell_length_b 5.0432
_cell_length_c 5.0432
_cell_angle_alpha 107.54
_cell_angle_beta 90.00
_cell_angle_gamma 90.00
loop_
_space_group_symop_operation_xyz
'x,y,z'
loop_
_atom_site_label
_atom_site_type_symbol
_atom_site_fract_x
_atom_site_fract_y
_atom_site_fract_z
In1 In 0.5000 0.0000 0.0000
As1 As 0.5000 0.5000 0.5000
Li1 Li 0.0000 0.5000 0.0000
Li2 Li 0.0000 0.0000 0.5000
# formation energy = -0.370 eV/atom
# space group = No. 65

No. 3
# GGA-PBEsol CeCuSb2, optimized geometry
data_CeCuSb2
_space_group_name_H-M_alt 'P 1'
_space_group_IT_number 1
_cell_length_a 4.3280
_cell_length_b 4.3280
_cell_length_c 9.5941
_cell_angle_alpha 90.00
_cell_angle_beta 90.00
_cell_angle_gamma 90.00
loop_
_space_group_symop_operation_xyz
'x,y,z'
loop_
_atom_site_label
_atom_site_type_symbol
_atom_site_fract_x
_atom_site_fract_y
_atom_site_fract_z
Sb1 Sb 0.0000 0.5000 0.1591
Sb2 Sb 0.5000 0.0000 0.8409
Ce1 Ce 0.0000 0.5000 0.7535
Cu1 Cu 0.5000 0.5000 0.0000
Cu2 Cu 0.0000 0.0000 0.0000
Sb3 Sb 0.5000 0.5000 0.5000
Sb4 Sb 0.0000 0.0000 0.5000
Ce2 Ce 0.5000 0.0000 0.2465
# raw total energy = -45.34 eV for the cell shown
# space group = No. 129